1.
Mg2GeHPt6, relaxed, DFT PBE; electronic total energy = -5.1713 eV per atom; crystal system = triclinic; total magnetization = 0.00 Bohr magnetons per cell
1.0
5.5660 0.2014 -0.2228
0.1948 6.2009 -0.9689
2.7200 2.6336 3.9557
Pt H Ge Mg
6 1 1 2
Direct
0.6766 0.6765 0.5185 Pt
0.3234 0.3235 0.4815 Pt
0.8321 0.3755 0.9570 Pt
0.1679 0.6245 0.0430 Pt
0.6488 0.8019 0.9838 Pt
0.3512 0.1981 0.0162 Pt
0.5000 0.5000 0.0000 H
0.0000 0.0000 0.0000 Ge
0.1812 0.7765 0.4954 Mg
0.8188 0.2235 0.5046 Mg


2.
RbMgGe2H, relaxed, DFT PBE; electronic total energy = -2.5856 eV per atom; crystal system = tetragonal; total magnetization = 0.00 Bohr magnetons per cell
1.0
-0.9231 -2.8300 -3.5212
-1.4875 -3.4417 3.1561
-4.2953 1.6632 -0.2107
Mg Rb Ge H
1 1 2 1
Direct
0.5000 0.5000 0.5000 Mg
0.0000 0.5000 0.0000 Rb
0.5000 0.0000 0.0000 Ge
0.0000 0.0000 0.5000 Ge
0.0000 0.0000 0.0000 H